[1]
BaCdCoF6 | PBE with a Hubbard U | relaxed

Cell lengths 5.748, 5.748, 11.068 Å; angles 90.00, 90.00, 120.00 degrees
Sites, in units of the cell vectors:
Ba1 0.000 0.000 0.000
Ba2 0.000 0.000 0.500
Cd1 0.333 0.667 0.250
Cd2 0.667 0.333 0.750
Co1 0.667 0.333 0.250
Co2 0.333 0.667 0.750
F1 0.648 0.623 0.145
F2 0.975 0.352 0.145
F3 0.352 0.975 0.645
F4 0.025 0.648 0.855
F5 0.377 0.352 0.355
F6 0.975 0.623 0.355
F7 0.623 0.975 0.855
F8 0.648 0.025 0.355
F9 0.025 0.377 0.645
F10 0.377 0.025 0.145
F11 0.623 0.648 0.645
F12 0.352 0.377 0.855

- SG: P-31c
- DFT total energy: -4.861 eV per atom

---

[2]
BaCdCo2F8 | PBE with a Hubbard U | relaxed

Cell lengths 4.365, 5.315, 8.227 Å; angles 84.47, 90.57, 83.00 degrees
Sites, in units of the cell vectors:
Ba1 0.000 0.000 0.500
Cd1 0.000 0.000 0.000
Co1 0.535 0.543 0.806
Co2 0.465 0.457 0.194
F1 0.152 0.747 0.236
F2 0.598 0.727 0.011
F3 0.899 0.267 0.195
F4 0.848 0.253 0.764
F5 0.402 0.273 0.989
F6 0.101 0.733 0.805
F7 0.555 0.731 0.588
F8 0.445 0.269 0.412

- SG: P-1
- DFT total energy: -4.864 eV per atom

---

Among the records above, which one has the highest DFT total energy?
BaCdCoF6